1.
First-principles (PBE) data for crystalline AlV6Sn at its relaxed geometry, as listed in the Alexandria database.

Properties
The calculation puts the total magnetization at 0.239 μB/atom. Its total energy is -7.900 eV/atom. The excess energy over the best structure of this formula in the dataset is 5 meV per atom. The calculated formation energy comes out at -0.09 eV per atom.

abc: 4.891 4.891 4.891
angles: 90.00 90.00 90.00
Positions (direct):
Al (0.000, 0.000, 0.000)
V (0.000, 0.237, 0.500)
V (0.000, 0.763, 0.500)
V (0.237, 0.500, 0.000)
V (0.500, 0.000, 0.237)
V (0.500, 0.000, 0.763)
V (0.763, 0.500, 0.000)
Sn (0.500, 0.500, 0.500)

***

2.
First-principles (PBE) data for crystalline AlSn3W at its relaxed geometry, as listed in the Alexandria database.

Properties
The calculation puts the total magnetization at 0.000 μB/atom. Its total energy is -5.119 eV/atom. The excess energy over the best structure of this formula in the dataset is 0 meV per atom. The calculated formation energy comes out at 0.62 eV per atom.

abc: 5.282 5.282 5.282
angles: 90.00 90.00 90.00
Positions (direct):
Al (0.000, 0.000, 0.000)
Sn (0.000, 0.500, 0.500)
Sn (0.500, 0.000, 0.500)
Sn (0.500, 0.500, 0.000)
W (0.500, 0.500, 0.500)

***

3.
First-principles (PBE) data for crystalline AlSn3W at its relaxed geometry, as listed in the Alexandria database.

Properties
The calculation puts the total magnetization at 0.000 μB/atom. Its total energy is -4.171 eV/atom. The excess energy over the best structure of this formula in the dataset is 948 meV per atom. The calculated formation energy comes out at 1.57 eV per atom.

abc: 5.094 5.094 5.094
angles: 90.00 90.00 90.00
Positions (direct):
Al (0.000, 0.000, 0.000)
Sn (0.000, 0.000, 0.500)
Sn (0.000, 0.500, 0.000)
Sn (0.500, 0.000, 0.000)
W (0.500, 0.500, 0.500)